A plane-wave DFT calculation with PBE was carried out for a geometry-optimized LaEr2AgHg4 structure.

Properties
As for the theoretical density: 11274 kg/m³. The calculation puts the formation energy at -0.370 eV per atom. The volume is 203.8 Å³/f.u.

Unit cell a=9.613 b=9.613 c=9.613 alpha=30.58 beta=30.58 gamma=30.58
Fractional coordinates of all 8 atoms:
La  0.000  0.000  0.000
Er  0.237  0.237  0.237
Er  0.763  0.763  0.763
Ag  0.500  0.500  0.500
Hg  0.125  0.125  0.125
Hg  0.385  0.385  0.385
Hg  0.615  0.615  0.615
Hg  0.875  0.875  0.875

***

A plane-wave DFT calculation with PBE was carried out for a geometry-optimized LiErAgHg structure.

Properties
As for the theoretical density: 9435 kg/m³. The calculation puts the formation energy at -0.311 eV per atom. The volume is 84.9 Å³/f.u.

Unit cell a=4.934 b=4.934 c=4.934 alpha=60.00 beta=60.00 gamma=60.00
Fractional coordinates of all 4 atoms:
Li  0.000  0.000  0.000
Er  0.500  0.500  0.500
Ag  0.250  0.250  0.250
Hg  0.750  0.750  0.750

***

A plane-wave DFT calculation with PBE was carried out for a geometry-optimized LiEr2AgHg4 structure.

Properties
As for the theoretical density: 11844 kg/m³. The calculation puts the formation energy at -0.378 eV per atom. The volume is 175.5 Å³/f.u.

Unit cell a=8.629 b=8.629 c=8.629 alpha=33.62 beta=33.62 gamma=33.62
Fractional coordinates of all 8 atoms:
Li  0.000  0.000  0.000
Er  0.247  0.247  0.247
Er  0.753  0.753  0.753
Ag  0.500  0.500  0.500
Hg  0.121  0.121  0.121
Hg  0.372  0.372  0.372
Hg  0.628  0.628  0.628
Hg  0.879  0.879  0.879